1.
# In3S4Br GGA-PBE relaxed
# Raw formation energy   -0.516 eV/atom
data_In3S4Br
_cell_length_a 13.198
_cell_length_b 6.622
_cell_length_c 10.235
_cell_angle_alpha 90.00
_cell_angle_beta 111.58
_cell_angle_gamma 90.00
_space_group_name_H-M_alt 'C 1 c 1'
_space_group_IT_number 9
_space_group_name_Hall 'C -2yc'
loop_
_atom_site_label
_atom_site_fract_x
_atom_site_fract_y
_atom_site_fract_z
_atom_site_occupancy
In1 0.000 0.026 0.000 1
In2 0.083 0.473 0.632 1
In3 0.219 0.044 0.355 1
S1 0.032 0.164 0.739 1
S2 0.085 0.274 0.418 1
S3 0.188 0.212 0.120 1
S4 0.400 0.165 0.537 1
Br1 0.299 0.340 0.836 1

***

2.
# TlCd2CuF8 GGA-PBE relaxed
# Raw formation energy   -1.885 eV/atom
# Fermi-level density of states   2.78 states/eV/cell
data_TlCd2CuF8
_cell_length_a 3.940
_cell_length_b 5.473
_cell_length_c 7.964
_cell_angle_alpha 86.00
_cell_angle_beta 89.44
_cell_angle_gamma 86.43
_space_group_name_H-M_alt 'P -1'
_space_group_IT_number 2
_space_group_name_Hall '-P 1'
loop_
_atom_site_label
_atom_site_fract_x
_atom_site_fract_y
_atom_site_fract_z
_atom_site_occupancy
Tl1 0.000 0.000 0.000 1
Cd1 0.481 0.472 0.265 1
Cu1 0.000 0.000 0.500 1
F1 0.040 0.330 0.778 1
F2 0.062 0.168 0.282 1
F3 0.395 0.753 0.482 1
F4 0.489 0.750 0.973 1

***

3.
# Ho3NpTe6 GGA-PBE relaxed
# Raw formation energy   -1.185 eV/atom
# Fermi-level density of states   14.17 states/eV/cell
data_Ho3NpTe6
_cell_length_a 12.467
_cell_length_b 4.345
_cell_length_c 12.751
_cell_angle_alpha 90.00
_cell_angle_beta 109.40
_cell_angle_gamma 90.00
_space_group_name_H-M_alt 'P 1 21/m 1'
_space_group_IT_number 11
_space_group_name_Hall '-P 2yb'
loop_
_atom_site_label
_atom_site_fract_x
_atom_site_fract_y
_atom_site_fract_z
_atom_site_occupancy
Ho1 0.067 0.250 0.165 1
Ho2 0.182 0.750 0.502 1
Ho3 0.346 0.250 0.921 1
Np1 0.453 0.250 0.305 1
Te1 0.017 0.250 0.382 1
Te2 0.108 0.250 0.938 1
Te3 0.246 0.750 0.279 1
Te4 0.306 0.750 0.750 1
Te5 0.385 0.250 0.535 1
Te6 0.416 0.750 0.101 1

***

4.
# Ru2AuN GGA-PBE relaxed
# Raw formation energy   0.433 eV/atom
# Fermi-level density of states   24.63 states/eV/cell
data_Ru2AuN
_cell_length_a 6.202
_cell_length_b 6.202
_cell_length_c 5.977
_cell_angle_alpha 90.00
_cell_angle_beta 90.00
_cell_angle_gamma 90.00
_space_group_name_H-M_alt 'I -4 2 d'
_space_group_IT_number 122
_space_group_name_Hall 'I -4 2bw'
loop_
_atom_site_label
_atom_site_fract_x
_atom_site_fract_y
_atom_site_fract_z
_atom_site_occupancy
Ru1 0.138 0.250 0.125 1
Au1 0.000 0.000 0.500 1
N1 0.000 0.000 0.000 1

***

5.
# Sc2ReRh GGA-PBE relaxed
# ΔE_f   -0.220 eV per atom
# Fermi-level density of states   3.73 states/eV/cell
data_Sc2ReRh
_cell_length_a 2.883
_cell_length_b 4.671
_cell_length_c 5.260
_cell_angle_alpha 90.00
_cell_angle_beta 102.77
_cell_angle_gamma 90.00
_space_group_name_H-M_alt 'P 1 m 1'
_space_group_IT_number 6
_space_group_name_Hall 'P -2y'
loop_
_atom_site_label
_atom_site_fract_x
_atom_site_fract_y
_atom_site_fract_z
_atom_site_occupancy
Sc1 0.000 0.000 0.000 1
Sc2 0.226 0.500 0.691 1
Re1 0.683 0.500 0.203 1
Rh1 0.533 0.000 0.486 1

***

6.
# Rb3Tb2PmTe6 GGA-PBE relaxed
# Raw formation energy   -1.396 eV/atom
data_Rb3Tb2PmTe6
_cell_length_a 7.914
_cell_length_b 13.707
_cell_length_c 8.958
_cell_angle_alpha 90.00
_cell_angle_beta 107.13
_cell_angle_gamma 90.00
_space_group_name_H-M_alt 'C 1 2/m 1'
_space_group_IT_number 12
_space_group_name_Hall '-C 2y'
loop_
_atom_site_label
_atom_site_fract_x
_atom_site_fract_y
_atom_site_fract_z
_atom_site_occupancy
Rb1 0.000 0.000 0.000 1
Rb2 0.000 0.335 0.000 1
Tb1 0.000 0.167 0.500 1
Pm1 0.000 0.500 0.500 1
Te1 0.229 0.000 0.701 1
Te2 0.236 0.331 0.701 1